The following is a PBE calculation of a relaxed CrIrOs4 crystal, from Alexandria via LeMat-Bulk.

a b c (Å): 5.0935 5.0935 5.0935
angles (deg): 60.00 60.00 60.00
Closest atoms and distances in Å follow each position.
Positions (direct):
1 Cr 0.0000 0.0000 0.0000  12 Os 2.99, 4 Ir 3.12
2 Ir 0.7500 0.7500 0.7500  12 Os 2.99, 4 Cr 3.12
3 Os 0.3754 0.3754 0.3754  6 Os 2.54-2.55
4 Os 0.3754 0.3754 0.8739  6 Os 2.54-2.55
5 Os 0.3754 0.8739 0.3754  6 Os 2.54-2.55
6 Os 0.8739 0.3754 0.3754  6 Os 2.54-2.55

Summary:
E_tot   -9.809 eV/atom
SG   F-43m, No. 216
Magnetization   0.152 μB per atom

***

The following is a PBE calculation of a relaxed CeLuPuAg crystal, from Alexandria via LeMat-Bulk.

a b c (Å): 7.3790 7.3790 7.3790
angles (deg): 90.00 90.00 90.00
Closest atoms and distances in Å follow each position.
Positions (direct):
1 Ce 0.0000 0.0000 0.0000  4 Ag 3.20, 4 Pu 3.20
2 Ce 0.0000 0.5000 0.5000  4 Pu 3.20, 4 Ag 3.20
3 Ce 0.5000 0.0000 0.5000  4 Pu 3.20, 4 Ag 3.20
4 Ce 0.5000 0.5000 0.0000  4 Pu 3.20, 4 Ag 3.20
5 Lu 0.0000 0.0000 0.5000  4 Pu 3.20, 4 Ag 3.20
6 Lu 0.0000 0.5000 0.0000  4 Pu 3.20, 4 Ag 3.20
7 Lu 0.5000 0.0000 0.0000  4 Pu 3.20, 4 Ag 3.20
8 Lu 0.5000 0.5000 0.5000  4 Pu 3.20, 4 Ag 3.20
9 Pu 0.2500 0.2500 0.7500  4 Ce 3.20, 4 Lu 3.20
10 Pu 0.2500 0.7500 0.2500  4 Ce 3.20, 4 Lu 3.20
11 Pu 0.7500 0.2500 0.2500  4 Ce 3.20, 4 Lu 3.20
12 Pu 0.7500 0.7500 0.7500  4 Ce 3.20, 4 Lu 3.20
13 Ag 0.2500 0.2500 0.2500  4 Ce 3.20, 4 Lu 3.20
14 Ag 0.2500 0.7500 0.7500  4 Ce 3.20, 4 Lu 3.20
15 Ag 0.7500 0.2500 0.7500  4 Ce 3.20, 4 Lu 3.20
16 Ag 0.7500 0.7500 0.2500  4 Ce 3.20, 4 Lu 3.20

Summary:
E_tot   -6.824 eV/atom
SG   F-43m, No. 216
Magnetization   2.100 μB per atom

***

The following is a PBE calculation of a relaxed ZnSbPt2 crystal, from Alexandria via LeMat-Bulk.

a b c (Å): 4.3870 4.3870 3.5761
angles (deg): 90.00 90.00 90.00
Closest atoms and distances in Å follow each position.
Positions (direct):
1 Zn 0.0000 0.0000 0.0000  8 Pt 2.83, 4 Sb 3.10
2 Sb 0.5000 0.5000 0.0000  8 Pt 2.83, 4 Zn 3.10
3 Pt 0.0000 0.5000 0.5000  4 Sb 2.83, 4 Zn 2.83, 4 Pt 3.10
4 Pt 0.5000 0.0000 0.5000  4 Sb 2.83, 4 Zn 2.83, 4 Pt 3.10

Summary:
SG   P4/mmm, No. 123
Magnetization   0.000 μB per atom
Formation energy from raw total energies   -231 meV per atom

***

The following is a PBE calculation of a relaxed LiHgPb4 crystal, from Alexandria via LeMat-Bulk.

a b c (Å): 7.8291 7.8291 6.1666
angles (deg): 100.76 100.76 110.38
Closest atoms and distances in Å follow each position.
Positions (direct):
1 Li 0.0040 0.9960 0.7500  8 Pb 2.92-3.18, 2 Li 3.09
2 Li 0.9960 0.0040 0.2500  8 Pb 2.92-3.18, 2 Li 3.09
3 Hg 0.3912 0.6088 0.7500  8 Pb 3.21-3.46
4 Hg 0.6088 0.3912 0.2500  8 Pb 3.21-3.46
5 Pb 0.0533 0.7007 0.4335  2 Li 2.92-2.95, 1 Pb 3.26
6 Pb 0.1921 0.3907 0.1327  2 Li 3.17-3.18, 2 Hg 3.21-3.46, 3 Pb 3.38-3.53
7 Pb 0.2993 0.9467 0.0665  2 Li 2.92-2.95, 1 Pb 3.26
8 Pb 0.3907 0.1921 0.6327  2 Li 3.17-3.18, 2 Hg 3.21-3.46, 3 Pb 3.38-3.53
9 Pb 0.6093 0.8079 0.3673  2 Li 3.17-3.18, 2 Hg 3.21-3.46, 3 Pb 3.38-3.53
10 Pb 0.7007 0.0533 0.9335  2 Li 2.92-2.95, 1 Pb 3.26
11 Pb 0.8079 0.6093 0.8673  2 Li 3.17-3.18, 2 Hg 3.21-3.46, 3 Pb 3.38-3.53
12 Pb 0.9467 0.2993 0.5665  2 Li 2.92-2.95, 1 Pb 3.26

Summary:
Polymorph energy (0 for the lowest one)   0 meV per atom
SG   C2/c, No. 15
Magnetization   0.000 μB per atom